No. 1
PBE K4LiTh3Te8, optimized geometry; formation energy without anion corrections = -1.187 eV/atom
1.0
9.135 0.000 0.000
0.000 9.770 0.436
-4.568 -4.564 6.466
Te K Th Li
8 4 3 1
Direct
0.740 0.719 0.479
0.237 0.710 0.475
0.265 0.290 0.028
0.763 0.290 0.525
0.260 0.281 0.521
0.735 0.710 0.972
0.237 0.710 0.972
0.763 0.290 0.028
0.500 0.000 0.500
0.500 0.000 0.000
0.000 0.000 0.500
0.000 0.000 0.000
0.000 0.500 0.500
0.500 0.500 0.000
0.500 0.500 0.500
0.000 0.500 0.000

No. 2
PBE Rb2ScP2S6, optimized geometry; formation energy without anion corrections = -0.832 eV/atom
1.0
-1.144 -6.078 2.922
1.972 0.343 -6.520
5.715 1.443 5.240
Rb P S Sc
2 2 6 1
Direct
0.716 0.433 0.197
0.284 0.567 0.803
0.053 0.106 0.185
0.947 0.894 0.815
0.216 0.934 0.223
0.282 0.066 0.777
0.746 0.492 0.634
0.718 0.934 0.223
0.784 0.066 0.777
0.254 0.508 0.366
0.500 0.000 0.500

No. 3
PBE BaCoAs2, optimized geometry; energy of formation from the pure elements = -0.52 eV/atom
1.0
4.025 0.066 -0.050
1.972 3.509 -0.050
2.049 1.222 6.186
Co Ba As
1 1 2
Direct
0.750 0.750 0.750
0.250 0.250 0.250
0.463 0.463 0.613
0.037 0.037 0.887

No. 4
PBE SrSc2N, optimized geometry; formation energy without anion corrections = -0.649 eV/atom
1.0
3.340 0.000 0.000
1.670 2.892 0.000
1.670 0.964 9.141
Sr N Sc
1 1 2
Direct
0.000 0.000 0.000
0.500 0.500 0.500
0.124 0.124 0.628
0.876 0.876 0.372

No. 5
PBE Sn2ICl, optimized geometry; formation energy without anion corrections = -0.078 eV/atom; energy relative to the lowest polymorph listed for this composition = 172 meV/atom
1.0
0.000 3.874 3.874
3.874 0.000 3.874
3.874 3.874 0.000
Sn I Cl
2 1 1
Direct
0.250 0.250 0.250
0.750 0.750 0.750
0.500 0.500 0.500
0.000 0.000 0.000

No. 6
PBE La2TmAl12Fe3, optimized geometry; energy of formation from the pure elements = 0.12 eV/atom
1.0
8.008 -0.284 -0.201
3.708 7.103 -0.201
3.708 2.158 6.770
Al La Fe Tm
12 2 3 1
Direct
0.840 0.840 0.471
0.731 0.731 0.077
0.840 0.471 0.840
0.160 0.160 0.529
0.269 0.269 0.923
0.731 0.077 0.731
0.269 0.923 0.269
0.077 0.731 0.731
0.529 0.160 0.160
0.471 0.840 0.840
0.923 0.269 0.269
0.160 0.529 0.160
0.419 0.419 0.419
0.581 0.581 0.581
0.000 0.000 0.500
0.500 0.000 0.000
0.000 0.500 0.000
0.000 0.000 0.000

No. 7
PBE Nb2CrRu, optimized geometry; energy of formation from the pure elements = 0.73 eV/atom
1.0
3.797 0.000 0.000
0.000 3.797 0.000
1.898 1.898 9.561
Ru Nb Cr
2 4 2
Direct
0.000 0.000 0.000
0.750 0.250 0.500
0.875 0.873 0.750
0.623 0.125 0.250
0.375 0.377 0.750
0.127 0.625 0.250
0.500 0.500 0.000
0.250 0.750 0.500

No. 8
PBE Cu3GePd6, optimized geometry; energy of formation from the pure elements = -0.21 eV/atom; energy relative to the lowest polymorph listed for this composition = 0 meV/atom
1.0
-1.464 2.079 -3.594
-1.183 -6.508 -3.284
-7.792 2.320 4.517
Cu Pd Ge
6 12 2
Direct
0.750 0.627 0.204
0.250 0.536 0.385
0.250 0.373 0.796
0.750 0.240 0.016
0.250 0.760 0.984
0.750 0.464 0.615
0.250 0.152 0.187
0.250 0.649 0.679
0.750 0.848 0.813
0.250 0.239 0.504
0.750 0.761 0.496
0.750 0.926 0.115
0.750 0.537 0.911
0.750 0.151 0.692
0.750 0.351 0.321
0.250 0.463 0.089
0.250 0.849 0.308
0.250 0.074 0.885
0.250 0.946 0.608
0.750 0.054 0.392

No. 9
PBE LiAlRe2, optimized geometry; energy of formation from the pure elements = 0.38 eV/atom
1.0
4.590 0.000 0.000
0.000 4.590 0.000
0.000 0.000 2.633
Li Al Re
1 1 2
Direct
0.000 0.500 0.500
0.500 0.000 0.500
0.000 0.000 0.000
0.500 0.500 0.000

No. 10
PBE CsCoPS2, optimized geometry; formation energy without anion corrections = 2.090 eV/atom; energy relative to the lowest polymorph listed for this composition = 1985 meV/atom
1.0
5.373 0.000 0.000
0.000 5.373 0.000
0.000 0.000 5.739
Co Cs S P
1 1 2 1
Direct
0.500 0.500 0.500
0.000 0.000 0.000
0.500 0.000 0.000
0.000 0.500 0.000
0.000 0.000 0.500

No. 11
PBE AcTl2SiSe4, optimized geometry; formation energy without anion corrections = -0.699 eV/atom
1.0
8.734 0.025 -0.352
0.019 8.734 -0.352
-4.577 -4.581 6.547
Tl Se Si Ac
4 8 2 2
Direct
0.500 0.000 0.000
0.500 0.000 0.500
0.500 0.500 0.000
0.000 0.000 0.500
0.752 0.747 0.943
0.248 0.253 0.057
0.274 0.709 0.492
0.247 0.252 0.443
0.753 0.748 0.557
0.791 0.226 0.008
0.209 0.774 0.992
0.726 0.291 0.508
0.500 0.500 0.500
0.000 0.000 0.000
0.000 0.500 0.000
0.000 0.500 0.500

No. 12
PBE MnWBr2, optimized geometry; formation energy without anion corrections = 0.321 eV/atom; energy relative to the lowest polymorph listed for this composition = 165 meV/atom
1.0
8.129 0.054 -0.125
7.495 3.149 -0.125
1.238 0.254 4.134
Br Mn W
2 1 1
Direct
0.389 0.389 0.609
0.111 0.111 0.891
0.250 0.250 0.250
0.750 0.750 0.750

no.,D(E_F) (states/eV per atom),total magnetic moment (μB per formula unit)
1,0.42,0.00
2,0.23,0.00
3,0.59,0.00
4,0.91,0.00
5,1.02,0.00
6,0.63,0.00
7,1.55,2.02
8,0.34,0.00
9,0.67,0.00
10,1.13,4.02
11,0.50,0.00
12,0.44,2.70